Entry 1:
The following is a PBE-GGA calculation of a geometry-optimized Hf3TlZn structure, from Alexandria via LeMat-Bulk.

Unit cell a=5.260 b=5.260 c=5.260 alpha=90.00 beta=90.00 gamma=90.00
Positions (direct):
Hf1 0.000 0.000 0.500
Hf2 0.000 0.500 0.000
Hf3 0.500 0.000 0.000
Tl1 0.000 0.000 0.000
Zn1 0.500 0.500 0.500

Results
- energy of formation from the pure elements (eV/atom) = 1.423
- DOS at the Fermi energy (states/eV/atom) = 0.93
- size of the total moment (μB per cell) = 0.00
- crystal system = cubic
- symmetry = No. 221

Entry 2:
The following is a PBE-GGA calculation of a geometry-optimized HfZrTlZn structure, from Alexandria via LeMat-Bulk.

Unit cell a=3.100 b=3.100 c=8.549 alpha=90.00 beta=90.00 gamma=90.00
Positions (direct):
Hf1 0.000 0.000 0.000
Zr1 0.000 0.000 0.444
Tl1 0.500 0.500 0.723
Zn1 0.500 0.500 0.218

Results
- energy of formation from the pure elements (eV/atom) = -0.076
- DOS at the Fermi energy (states/eV/atom) = 1.22
- size of the total moment (μB per cell) = 0.00
- crystal system = tetragonal
- symmetry = No. 99

Entry 3:
The following is a PBE-GGA calculation of a geometry-optimized HfZrTlZn structure, from Alexandria via LeMat-Bulk.

Unit cell a=6.929 b=6.929 c=6.929 alpha=90.00 beta=90.00 gamma=90.00
Positions (direct):
Hf1 0.000 0.000 0.000
Hf2 0.000 0.500 0.500
Hf3 0.500 0.000 0.500
Hf4 0.500 0.500 0.000
Zr1 0.000 0.000 0.500
Zr2 0.000 0.500 0.000
Zr3 0.500 0.000 0.000
Zr4 0.500 0.500 0.500
Tl1 0.250 0.250 0.250
Tl2 0.250 0.750 0.750
Tl3 0.750 0.250 0.750
Tl4 0.750 0.750 0.250
Zn1 0.250 0.250 0.750
Zn2 0.250 0.750 0.250
Zn3 0.750 0.250 0.250
Zn4 0.750 0.750 0.750

Results
- energy of formation from the pure elements (eV/atom) = 0.028
- DOS at the Fermi energy (states/eV/atom) = 1.12
- size of the total moment (μB per cell) = 0.00
- crystal system = cubic
- symmetry = No. 216

Entry 4:
The following is a PBE-GGA calculation of a geometry-optimized HfZrTl structure, from Alexandria via LeMat-Bulk.

Unit cell a=8.046 b=8.046 c=8.046 alpha=95.64 beta=95.64 gamma=143.47
Positions (direct):
Hf1 0.000 0.376 0.376
Hf2 0.000 0.624 0.624
Hf3 0.376 0.000 0.376
Hf4 0.624 0.000 0.624
Zr1 0.179 0.179 0.358
Zr2 0.179 0.821 0.000
Zr3 0.821 0.179 0.000
Zr4 0.821 0.821 0.642
Tl1 0.282 0.500 0.782
Tl2 0.500 0.282 0.782
Tl3 0.500 0.718 0.218
Tl4 0.718 0.500 0.218

Results
- energy of formation from the pure elements (eV/atom) = 0.265
- DOS at the Fermi energy (states/eV/atom) = 0.99
- size of the total moment (μB per cell) = 0.00
- crystal system = tetragonal
- symmetry = No. 139